No. 1
This record from Alexandria describes a relaxed Dy4Ge2N crystal. The functional is PBE.

extended XYZ file:
```
7
Lattice="-0.724 2.848 -2.534 0.075 -5.413 -6.106 -4.405 1.006 5.362" Properties=species:S:1:pos:R:3 pbc="T T T"
Dy -3.220 -2.458 -1.842
Dy -1.833 0.900 -1.436
Dy -4.339 2.467 1.043
Dy -0.714 -4.025 -4.321
Ge -3.602 -0.495 0.473
Ge -1.452 -1.063 -3.751
N 0.000 0.000 0.000
```

**Space-group type**: C2/m, No. 12
**Distance to the lowest polymorph of the same formula**: 0.28 eV per formula unit
**D(E_F)**: 0.731 states/eV per atom



No. 2
This record from Alexandria describes a relaxed DyGeN2 crystal. The functional is PBE.

extended XYZ file:
```
4
Lattice="-0.599 -2.282 2.735 2.536 -0.501 2.522 -1.642 3.478 4.927" Properties=species:S:1:pos:R:3 pbc="T T T"
N 1.246 -1.452 6.216
N -0.951 2.148 3.969
Ge 0.000 0.000 0.000
Dy 0.148 0.348 5.092
```

**Space-group type**: R-3m, No. 166
**D(E_F)**: 0.617 states/eV per atom



No. 3
This record from Alexandria describes a relaxed Dy2GeN crystal. The functional is PBE.

extended XYZ file:
```
4
Lattice="-0.211 3.338 -1.148 0.072 0.684 -3.469 -7.130 0.807 -1.791" Properties=species:S:1:pos:R:3 pbc="T T T"
Dy -2.243 1.175 -1.617
Dy -5.025 3.654 -4.791
Ge 0.000 0.000 0.000
N -3.634 2.415 -3.204
```

**Space-group type**: R-3m, No. 166
**D(E_F)**: 0.285 states/eV per atom



No. 4
This record from Alexandria describes a relaxed NdDy2GeN4 crystal. The functional is PBE.

extended XYZ file:
```
16
Lattice="-2.125 0.716 2.746 -2.609 -4.387 -3.162 5.592 -7.939 6.399" Properties=species:S:1:pos:R:3 pbc="T T T"
N 2.128 -8.439 6.137
N 0.744 -6.475 4.554
N -1.269 -3.170 -0.155
N 0.115 -5.134 1.429
N 0.000 0.000 0.000
N 1.097 -9.353 3.289
N -0.238 -2.256 2.693
N 2.796 -3.969 3.200
Ge 0.203 -3.297 1.017
Ge 0.656 -8.312 4.965
Dy 2.636 -10.572 4.799
Dy 0.325 -7.291 2.154
Dy 0.534 -4.318 3.828
Dy -1.777 -1.037 1.183
Nd -2.608 -4.856 1.538
Nd 3.466 -6.753 4.445
```

**Space-group type**: Cmcm, No. 63
**D(E_F)**: 0.111 states/eV per atom



No. 5
This record from Alexandria describes a relaxed Dy2NpGeN5 crystal. The functional is PBE.

extended XYZ file:
```
18
Lattice="3.321 0.000 0.000 -1.661 6.998 0.000 0.000 0.000 10.183" Properties=species:S:1:pos:R:3 pbc="T T T"
N 0.000 5.220 0.113
N 0.000 4.205 3.716
N 1.661 6.299 5.598
N 0.000 0.699 0.507
N 0.000 6.970 8.023
N 1.661 2.978 1.495
N 1.661 1.778 5.205
N 0.000 4.020 6.586
N 1.661 0.028 2.932
N 1.661 2.794 8.808
Ge 0.000 6.911 4.796
Ge 1.661 0.087 9.887
Np 0.000 2.996 0.043
Np 1.661 4.002 5.135
Dy 0.000 1.791 2.945
Dy 1.661 5.433 2.027
Dy 1.661 5.207 8.036
Dy 0.000 1.566 7.119
```

**Space-group type**: Cmc2_1, No. 36
**D(E_F)**: 0.498 states/eV per atom



No. 6
This record from Alexandria describes a relaxed Dy2PuGeN5 crystal. The functional is PBE.

extended XYZ file:
```
18
Lattice="-0.292 2.584 -2.063 -6.375 -0.156 3.376 3.642 6.129 7.160" Properties=species:S:1:pos:R:3 pbc="T T T"
Dy -0.594 2.067 2.672
Dy 1.082 4.531 5.521
Dy -2.138 6.983 6.378
Dy -4.487 3.387 2.205
N -4.834 0.915 1.830
N -2.590 2.917 4.019
N 0.880 3.056 1.032
N -2.385 2.672 1.013
N 0.400 7.044 6.095
N -3.634 5.957 7.974
N -4.009 5.690 5.023
N -1.395 4.615 5.976
N 0.066 4.710 3.219
N -0.467 0.425 0.599
Pu -2.044 5.031 3.919
Pu -2.773 0.510 1.030
Ge -4.717 4.013 5.692
Ge 3.307 7.263 5.958
```

**Space-group type**: Cmc2_1, No. 36
**D(E_F)**: 0.651 states/eV per atom



| no. | size of the total moment (μB/cell) | E_form (uncorrected) (eV/f.u.) |
| --- | --- | --- |
| 1 | 0.01 | -6.6 |
| 2 | 0.00 | -1.9 |
| 3 | 0.00 | -4.6 |
| 4 | 0.00 | -8.6 |
| 5 | 4.00 | -9.1 |
| 6 | 6.00 | -8.9 |